1.
## BeAl2W (PBE)

Data for an optimized crystal structure of BeAl2W.

abc: 6.8068 6.8068 5.4094
angles: 51.01 51.01 90.00
Closest atoms and distances in Å follow each position.
Positions (direct):
Be: 0.5000 0.5000 0.0000  4 Al 2.26, 2 W 2.47
Be: 0.2500 0.7500 0.5000  4 Al 2.26, 2 W 2.47
Al: 0.5727 0.1250 0.2500  2 Be 2.26
Al: 0.1773 0.6250 0.2500  2 Be 2.26
Al: 0.3750 0.4273 0.7500  2 Be 2.26
Al: 0.8750 0.8227 0.7500  2 Be 2.26
W: 0.0000 0.0000 0.0000  2 Be 2.47, 4 Al 2.74
W: 0.7500 0.2500 0.5000  2 Be 2.47, 4 Al 2.74

Calculated density ... 7.166 g/cm³
Energy of formation ... 437 meV per atom
Total energy ... -5.60 eV per atom
SG ... I-42d (122)

***

2.
## CdSi (PBE)

Data for an optimized crystal structure of CdSi.

abc: 6.8690 6.8690 7.0395
angles: 73.15 73.15 22.90
Closest atoms and distances in Å follow each position.
Positions (direct):
Cd: 0.0555 0.0555 0.9181  2 Cd 2.73, 2 Si 3.04
Cd: 0.3797 0.3797 0.2695  2 Cd 2.73
Cd: 0.3397 0.3397 0.7962  2 Cd 2.73
Si: 0.6862 0.6862 0.5404  5 Si 2.57-2.73
Si: 0.0313 0.0313 0.4597  6 Si 2.67-2.73
Si: 0.6743 0.6743 0.1828  5 Si 2.57-2.73

Calculated density ... 5.670 g/cm³
Formation energy without anion corrections ... 366 meV/atom
Total energy ... -2.80 eV per atom
SG ... Cm (8)

***

3.
## Tb2Al4NiPt3 (PBE)

Data for an optimized crystal structure of Tb2Al4NiPt3.

abc: 4.1271 4.1271 10.6892
angles: 90.00 90.00 90.00
Closest atoms and distances in Å follow each position.
Positions (direct):
Tb: 0.5000 0.0000 0.2547  6 Pt 3.17-3.34, 8 Al 3.19-3.42, 2 Ni 3.34
Tb: 0.0000 0.5000 0.7453  6 Pt 3.17-3.34, 8 Al 3.19-3.42, 2 Ni 3.34
Al: 0.5000 0.5000 0.0000  4 Pt 2.55
Al: 0.0000 0.0000 0.0000  4 Pt 2.55
Al: 0.5000 0.0000 0.6252  3 Pt 2.46-2.51, 2 Ni 2.46
Al: 0.0000 0.5000 0.3748  2 Ni 2.46, 3 Pt 2.46-2.51
Ni: 0.5000 0.5000 0.5000  4 Al 2.46
Pt: 0.0000 0.0000 0.5000  4 Al 2.46
Pt: 0.5000 0.0000 0.8604  5 Al 2.51-2.55
Pt: 0.0000 0.5000 0.1396  5 Al 2.51-2.55

Calculated density ... 9.756 g/cm³
Energy of formation ... -1006 meV per atom
Total energy ... -5.82 eV per atom
SG ... P-4m2 (115)

***

4.
## BeSb4Pt (PBE)

Data for an optimized crystal structure of BeSb4Pt.

abc: 6.0294 6.0294 6.0294
angles: 60.00 60.00 60.00
Closest atoms and distances in Å follow each position.
Positions (direct):
Be: 0.2500 0.2500 0.2500  12 Sb 3.53, 4 Pt 3.69
Sb: 0.1263 0.6246 0.6246  6 Sb 3.00-3.03
Sb: 0.6246 0.6246 0.6246  6 Sb 3.00-3.03
Sb: 0.6246 0.1263 0.6246  6 Sb 3.00-3.03
Sb: 0.6246 0.6246 0.1263  6 Sb 3.00-3.03
Pt: 0.0000 0.0000 0.0000  12 Sb 3.54, 4 Be 3.69

Calculated density ... 7.405 g/cm³
Formation energy without anion corrections ... 974 meV/atom
Total energy ... -3.40 eV per atom
SG ... F-43m (216)

***

5.
## YSc2B (PBE)

Data for an optimized crystal structure of YSc2B.

abc: 10.3369 10.3369 10.3369
angles: 18.68 18.68 18.68
Closest atoms and distances in Å follow each position.
Positions (direct):
Y: 0.5000 0.5000 0.5000  6 Sc 3.35, 6 Y 3.35
Sc: 0.9231 0.9231 0.9231  1 B 2.34
Sc: 0.0769 0.0769 0.0769  1 B 2.34
B: 0.0000 0.0000 0.0000  2 Sc 2.34

Calculated density ... 3.183 g/cm³
Energy of formation ... 889 meV per atom
Total energy ... -5.56 eV per atom
SG ... R-3m (166)

***

6.
## Mg6ZnSi (PBE)

Data for an optimized crystal structure of Mg6ZnSi.

abc: 6.1506 6.1506 4.7834
angles: 90.00 90.00 116.72
Closest atoms and distances in Å follow each position.
Positions (direct):
Mg: 0.6635 0.8368 0.5000  8 Mg 3.01-3.23, 2 Si 3.04-3.11, 2 Zn 3.06-3.09
Mg: 0.1632 0.3365 0.5000  8 Mg 3.01-3.23, 2 Si 3.04-3.11, 2 Zn 3.06-3.09
Mg: 0.8399 0.6594 0.0000  8 Mg 2.99-3.23, 2 Zn 2.99, 2 Si 2.99
Mg: 0.3406 0.1601 0.0000  8 Mg 2.99-3.23, 2 Zn 2.99, 2 Si 2.99
Mg: 0.3311 0.6689 0.0000  2 Zn 2.96, 10 Mg 3.00-3.23
Mg: 0.8302 0.1698 0.0000  2 Si 2.94, 10 Mg 2.99-3.23
Zn: 0.1647 0.8353 0.5000  10 Mg 2.96-3.09, 2 Si 3.23
Si: 0.6668 0.3332 0.5000  10 Mg 2.94-3.11, 2 Zn 3.23

Calculated density ... 2.459 g/cm³
Formation energy without anion corrections ... 33 meV/atom
Total energy ... -2.00 eV per atom
Relative energy among the computed polymorphs ... 0 meV/atom
SG ... Amm2 (38)

***

7.
## CaCrMo2 (PBE)

Data for an optimized crystal structure of CaCrMo2.

abc: 3.2918 3.2894 7.1249
angles: 90.00 90.00 90.00
Closest atoms and distances in Å follow each position.
Positions (direct):
Cr: 0.5000 0.5000 0.7500  8 Mo 2.61
Mo: 0.0000 0.0000 0.9153  1 Mo 2.36, 4 Cr 2.61
Mo: 0.0000 0.0000 0.5847  1 Mo 2.36, 4 Cr 2.61
Ca: 0.5000 0.5000 0.2500  4 Ca 3.29, 8 Mo 3.33, 2 Cr 3.56

Calculated density ... 6.112 g/cm³
Energy of formation ... 607 meV per atom
Total energy ... -7.72 eV per atom
Relative energy among the computed polymorphs ... 43 meV/atom
SG ... P4/mmm (123)

***

| no. | size of the total moment (μB per formula unit) |
| --- | --- |
| 1 | 0.0 |
| 2 | 0.0 |
| 3 | 0.0 |
| 4 | 0.0 |
| 5 | 0.0 |
| 6 | 0.0 |
| 7 | 0.0 |